Record 1
# PmPr3Nd4Se8

A relaxed PmPr3Nd4Se8 crystal (GGA-PBE, Alexandria).

Computed properties:
The calculation puts the density of states at the Fermi level at 11.33 states/eV/f.u. For the uncorrected energy, the calculation gives -5.96 eV per atom. Its crystal system is trigonal. Its raw formation energy is -1.83 eV/atom. The calculation puts the spin magnetization at 0.00 μB/f.u.

Cell: 8.486 8.479 8.483 Å, 119.99 120.02 90.00°
Element x y z (fractional)
Nd 0.000 0.000 0.500
Nd 0.500 0.000 0.000
Nd 0.500 0.000 0.500
Nd 0.000 0.000 0.000
Se 0.751 0.249 0.998
Se 0.249 0.247 0.498
Se 0.751 0.249 0.502
Se 0.249 0.751 0.498
Se 0.751 0.753 0.502
Se 0.753 0.751 0.002
Se 0.249 0.751 0.002
Se 0.247 0.249 0.998
Pr 0.500 0.500 0.500
Pr 0.000 0.500 0.500
Pr 0.500 0.500 0.000
Pm 0.000 0.500 0.000

=====

Record 2
# InBiRh2

A relaxed InBiRh2 crystal (GGA-PBE, Alexandria).

Computed properties:
The value obtained for the formation energy is -0.166 eV per atom. The calculation puts the density of states at the Fermi level at 2.91 states/eV/f.u. For the uncorrected energy, the calculation gives -5.50 eV per atom. Its crystal system is tetragonal. The calculation puts the spin magnetization at 0.00 μB/f.u.

Cell: 3.296 3.296 6.881 Å, 90.00 90.00 90.00°
Element x y z (fractional)
Bi 0.500 0.500 0.500
Rh 0.000 0.000 0.225
Rh 0.000 0.000 0.775
In 0.500 0.500 0.000

=====

Record 3
# TbEuNi2

A relaxed TbEuNi2 crystal (GGA-PBE, Alexandria).

Computed properties:
The value obtained for the formation energy is -0.050 eV per atom. The calculation puts the density of states at the Fermi level at 10.80 states/eV/f.u. For the uncorrected energy, the calculation gives -6.67 eV per atom. Its crystal system is trigonal. The calculation puts the spin magnetization at 6.94 μB/f.u.

Cell: 4.014 4.014 6.909 Å, 73.11 73.11 60.00°
Element x y z (fractional)
Tb 0.000 0.000 0.000
Ni 0.257 0.257 0.229
Ni 0.743 0.743 0.771
Eu 0.500 0.500 0.500

=====

Record 4
# TaAg3Se4

A relaxed TaAg3Se4 crystal (GGA-PBE, Alexandria).

Computed properties:
The value obtained for the energy above the lowest structure with this stoichiometry is 0.19 eV per formula unit. For the uncorrected energy, the calculation gives -4.61 eV per atom. Its crystal system is cubic. Its raw formation energy is -0.31 eV/atom. The calculation puts the spin magnetization at 0.00 μB/f.u.

Cell: 6.042 6.042 6.042 Å, 90.00 90.00 90.00°
Element x y z (fractional)
Se 0.233 0.233 0.233
Se 0.767 0.233 0.767
Se 0.233 0.767 0.767
Se 0.767 0.767 0.233
Ag 0.500 0.000 0.500
Ag 0.000 0.500 0.500
Ag 0.500 0.500 0.000
Ta 0.000 0.000 0.000

=====

Record 5
# TaTlCu2Ni

A relaxed TaTlCu2Ni crystal (GGA-PBE, Alexandria).

Computed properties:
The value obtained for the formation energy is 1.584 eV per atom. The calculation puts the density of states at the Fermi level at 5.84 states/eV/f.u. For the uncorrected energy, the calculation gives -4.05 eV per atom. Its crystal system is tetragonal. The calculation puts the spin magnetization at 0.00 μB/f.u.

Cell: 4.623 4.653 4.623 Å, 90.00 90.00 90.00°
Element x y z (fractional)
Cu 0.000 0.000 0.500
Cu 0.500 0.000 0.000
Tl 0.000 0.000 0.000
Ta 0.500 0.500 0.500
Ni 0.000 0.500 0.000

=====

Record 6
# La15Sm4Al

A relaxed La15Sm4Al crystal (GGA-PBE, Alexandria).

Computed properties:
The value obtained for the formation energy is -0.019 eV per atom. The calculation puts the density of states at the Fermi level at 29.74 states/eV/f.u. For the uncorrected energy, the calculation gives -4.85 eV per atom. Its crystal system is tetragonal. The calculation puts the spin magnetization at 0.00 μB/f.u.

Cell: 5.174 5.174 26.067 Å, 90.00 90.00 90.00°
Element x y z (fractional)
La 0.500 0.500 0.196
La 0.500 0.000 0.093
La 0.500 0.500 0.602
La 0.000 0.500 0.907
La 0.000 0.500 0.704
La 0.000 0.500 0.093
La 0.000 0.500 0.500
La 0.500 0.000 0.704
La 0.000 0.500 0.296
La 0.500 0.500 0.000
La 0.500 0.500 0.804
La 0.500 0.000 0.907
La 0.500 0.500 0.398
La 0.500 0.000 0.296
La 0.500 0.000 0.500
Sm 0.000 0.000 0.399
Sm 0.000 0.000 0.195
Sm 0.000 0.000 0.805
Sm 0.000 0.000 0.601
Al 0.000 0.000 0.000